VASP calculation (PBE-GGA) on crystalline LiHoEr4Se8 at its relaxed geometry.

Computed properties:
magnetic moment: 0.000 μB/atom
SG: R3m, No. 160
raw formation energy: -1.7770 eV/atom

The structure in extended XYZ format:
```
14
Lattice="4.148 2.395 6.786 -4.148 2.395 6.786 0.000 -4.790 6.786" Properties=species:S:1:pos:R:3 pbc="T T T"
Li 0.000 0.000 0.000
Ho 0.000 0.000 12.834
Er -2.162 -1.248 9.298
Er 0.000 0.000 5.096
Er 2.162 -1.248 9.298
Er 0.000 2.496 9.298
Se 0.000 -2.236 10.966
Se -1.936 1.118 10.966
Se 0.000 0.000 7.813
Se -1.989 -1.149 14.466
Se 1.936 1.118 10.966
Se 1.989 -1.149 14.466
Se 0.000 2.297 14.466
Se 0.000 0.000 17.706
```

---

VASP calculation (PBE-GGA) on crystalline LiSmHoEr at its relaxed geometry.

Computed properties:
magnetic moment: 0.000 μB/atom
SG: F-43m, No. 216
formation enthalpy at 0 K: 0.168 eV/atom

The structure in extended XYZ format:
```
4
Lattice="0.000 3.876 3.876 3.876 0.000 3.876 3.876 3.876 0.000" Properties=species:S:1:pos:R:3 pbc="T T T"
Li 0.000 0.000 0.000
Sm 1.938 1.938 1.938
Ho 5.815 5.815 5.815
Er 3.876 3.876 3.876
```

---

Going through the records in order, we get volume values of 28.9; 29.1 Å³/atom.